VASP calculation (PBE) on an optimized crystal structure of CeHoCoOs.

Cell: 4.8101 4.8101 4.8101 Å, 60.00 60.00 60.00°
Each line ends with the local moment (μB).
Positions (direct):
Co  0.2500  0.2500  0.2500  0.89
Ce  0.5000  0.5000  0.5000  -0.31
Os  0.7500  0.7500  0.7500  0.12
Ho  0.0000  0.0000  0.0000  -0.10

formation energy: -0.7 eV per formula unit
space-group type: F-43m (216)

=====

VASP calculation (PBE) on an optimized crystal structure of CeHoCo2P2.

Cell: 3.8679 3.8679 7.8255 Å, 90.00 90.00 120.00°
Positions (direct):
P  0.3333  0.6667  0.2641
Ho  0.0000  0.0000  0.5000
Co  0.3333  0.6667  0.7640
Ce  0.0000  0.0000  0.0000
Co  0.6667  0.3333  0.2360
P  0.6667  0.3333  0.7359

formation energy: -6.5 eV per formula unit
space-group type: P-3m1 (164)

=====

VASP calculation (PBE) on an optimized crystal structure of CeHo2PaCo2.

Cell: 6.8410 6.9291 7.7623 Å, 116.51 116.15 90.00°
Positions (direct):
Co  0.4255  0.6531  0.8509
Pa  0.2500  0.5000  0.0000
Co  0.9255  0.1979  0.8509
Pa  0.7500  0.5000  0.0000
Ho  0.2021  0.4857  0.4043
Ho  0.7021  0.9185  0.4043
Co  0.5745  0.3469  0.1491
Ce  0.2500  0.0000  0.0000
Co  0.0745  0.8021  0.1491
Ho  0.2979  0.0815  0.5957
Ce  0.7500  0.0000  0.0000
Ho  0.7979  0.5143  0.5957

formation energy: -1.0 eV per formula unit
space-group type: Ibam (72)

=====

VASP calculation (PBE) on an optimized crystal structure of CeHoCoPd.

Cell: 4.8840 4.8840 4.8840 Å, 60.00 60.00 60.00°
Each line ends with the local moment (μB).
Positions (direct):
Ce  0.2500  0.2500  0.2500  0.43
Co  0.5000  0.5000  0.5000  -0.43
Pd  0.0000  0.0000  0.0000  -0.01
Ho  0.7500  0.7500  0.7500  0.06

formation energy: -1.6 eV per formula unit
space-group type: F-43m (216)

=====

VASP calculation (PBE) on an optimized crystal structure of CePm2HoCo2.

Cell: 6.6963 6.8015 8.0001 Å, 115.16 114.74 90.00°
Positions (direct):
Pm  0.8005  0.5145  0.6010
Ho  0.7500  0.0000  0.0000
Pm  0.6995  0.9135  0.3990
Co  0.0930  0.8089  0.1860
Co  0.4070  0.6229  0.8140
Co  0.9070  0.1911  0.8140
Pm  0.3005  0.0865  0.6010
Pm  0.1995  0.4855  0.3990
Co  0.5930  0.3771  0.1860
Ho  0.2500  0.0000  0.0000
Ce  0.7500  0.5000  0.0000
Ce  0.2500  0.5000  0.0000

formation energy: -0.7 eV per formula unit
space-group type: Ibam (72)

=====

VASP calculation (PBE) on an optimized crystal structure of CeHoCoPt.

Cell: 4.8862 4.8862 4.8862 Å, 60.00 60.00 60.00°
Each line ends with the local moment (μB).
Positions (direct):
Ho  0.0000  0.0000  0.0000  -0.06
Co  0.2500  0.2500  0.2500  0.52
Pt  0.7500  0.7500  0.7500  0.02
Ce  0.5000  0.5000  0.5000  -0.43

formation energy: -2.3 eV per formula unit
space-group type: F-43m (216)

=====

VASP calculation (PBE) on an optimized crystal structure of CeHoCoRu.

Cell: 4.7985 4.7985 4.7985 Å, 60.00 60.00 60.00°
Each line ends with the local moment (μB).
Positions (direct):
Ru  0.5000  0.5000  0.5000  0.16
Ho  0.2500  0.2500  0.2500  -0.09
Ce  0.7500  0.7500  0.7500  -0.25
Co  0.0000  0.0000  0.0000  0.77

formation energy: -1.0 eV per formula unit
space-group type: F-43m (216)
E above lowest polymorph: 0.11 eV/f.u.

=====

VASP calculation (PBE) on an optimized crystal structure of CeHoCoRu.

Cell: 3.3720 3.3720 6.7964 Å, 90.00 90.00 90.00°
Each line ends with the local moment (μB).
Positions (direct):
Ho  0.5000  0.5000  0.1070  -0.01
Ru  0.0000  0.0000  0.8417  0.02
Ce  0.5000  0.5000  0.5945  -0.05
Co  0.0000  0.0000  0.3847  0.13

formation energy: -1.1 eV per formula unit
space-group type: P4mm (99)
E above lowest polymorph: 0.00 eV/f.u.

=====

VASP calculation (PBE) on an optimized crystal structure of CeSm2HoCo2.

Cell: 6.6786 6.7937 7.9860 Å, 115.17 114.72 90.00°
Positions (direct):
Ce  0.7500  0.5000  0.0000
Ho  0.7500  0.0000  0.0000
Ce  0.2500  0.5000  0.0000
Sm  0.8003  0.5109  0.6006
Ho  0.2500  0.0000  0.0000
Sm  0.1997  0.4891  0.3994
Co  0.9063  0.1912  0.8126
Sm  0.3003  0.0896  0.6006
Co  0.4063  0.6215  0.8126
Co  0.5937  0.3785  0.1874
Sm  0.6997  0.9104  0.3994
Co  0.0937  0.8088  0.1874

formation energy: -0.7 eV per formula unit
space-group type: Ibam (72)

=====

VASP calculation (PBE) on an optimized crystal structure of CeHoCoTc.

Cell: 4.7914 4.7914 4.7914 Å, 60.00 60.00 60.00°
Positions (direct):
Co  0.2500  0.2500  0.2500
Tc  0.7500  0.7500  0.7500
Ho  0.0000  0.0000  0.0000
Ce  0.5000  0.5000  0.5000

formation energy: -0.2 eV per formula unit
space-group type: F-43m (216)

=====

VASP calculation (PBE) on an optimized crystal structure of CeY2HoCo2.

Cell: 6.6042 6.8069 7.9654 Å, 115.30 114.49 90.00°
Positions (direct):
Co  0.5967  0.3868  0.1934
Ce  0.7500  0.5000  0.0000
Y  0.7981  0.4873  0.5962
Y  0.7019  0.8911  0.4038
Co  0.0967  0.8066  0.1934
Ho  0.2500  0.0000  0.0000
Y  0.2019  0.5127  0.4038
Co  0.4033  0.6132  0.8066
Ce  0.2500  0.5000  0.0000
Y  0.2981  0.1089  0.5962
Ho  0.7500  0.0000  0.0000
Co  0.9033  0.1934  0.8066

formation energy: -0.7 eV per formula unit
space-group type: Ibam (72)

=====

VASP calculation (PBE) on an optimized crystal structure of CeHoZnCo.

Cell: 4.9007 4.9007 4.9007 Å, 60.00 60.00 60.00°
Each line ends with the local moment (μB).
Positions (direct):
Ho  0.7500  0.7500  0.7500  -0.07
Ce  0.2500  0.2500  0.2500  -0.33
Co  0.5000  0.5000  0.5000  0.50
Zn  0.0000  0.0000  0.0000  0.00

formation energy: -0.6 eV per formula unit
space-group type: F-43m (216)

=====

VASP calculation (PBE) on an optimized crystal structure of Ce4CoI5.

Cell: 4.0908 9.0256 9.9796 Å, 102.56 101.83 90.00°
Each line ends with the local moment (μB).
Positions (direct):
Co  0.5000  0.0000  0.0000  -0.25
Ce  0.0015  0.8053  0.0030  0.81
I  0.8269  0.1864  0.6537  -0.01
I  0.1731  0.8136  0.3463  -0.01
Ce  0.9985  0.1947  0.9970  0.81
Ce  0.3504  0.9241  0.7009  1.10
I  0.8342  0.6472  0.6685  -0.01
Ce  0.6496  0.0759  0.2991  1.10
I  0.1658  0.3528  0.3315  -0.01
I  0.5000  0.5000  0.0000  -0.01

space-group type: C2/m (12)
formation energy (no corrections): -0.9676 eV per atom

=====

VASP calculation (PBE) on an optimized crystal structure of Ce3CoI3.

Cell: 4.3485 9.1803 11.8538 Å, 93.48 90.00 90.00°
Each line ends with the local moment (μB).
Positions (direct):
Ce  0.7500  0.0959  0.4070  -0.61
I  0.7500  0.1374  0.1203  0.01
I  0.7500  0.6070  0.6464  -0.01
Ce  0.2500  0.8904  0.1783  -0.91
Ce  0.7500  0.1096  0.8217  -0.91
Ce  0.2500  0.3152  0.6148  0.82
Co  0.2500  0.8882  0.3820  0.07
I  0.2500  0.3645  0.8836  0.00
I  0.2500  0.3930  0.3536  -0.01
Ce  0.2500  0.9041  0.5930  -0.61
I  0.7500  0.6355  0.1164  0.00
Ce  0.7500  0.6848  0.3852  0.82
Co  0.7500  0.1118  0.6180  0.07
I  0.2500  0.8626  0.8797  0.01

space-group type: P2_1/m (11)
formation energy (no corrections): -0.8574 eV per atom

=====

VASP calculation (PBE) on an optimized crystal structure of CeNdCoI.

Cell: 3.9976 4.2210 8.3834 Å, 90.00 105.54 121.87°
Each line ends with the local moment (μB).
Positions (direct):
I  0.9617  0.3785  0.3605  0.00
Ce  0.0307  0.9134  0.0389  0.37
Co  0.3576  0.5768  0.8910  -0.07
Nd  0.5278  0.1620  0.6793  0.03

space-group type: Cm (8)
formation energy (no corrections): -0.5908 eV per atom

=====

VASP calculation (PBE) on an optimized crystal structure of Ce8CoOs3I4.

Cell: 8.1943 9.2607 8.1958 Å, 116.27 119.99 90.00°
Each line ends with the local moment (μB).
Positions (direct):
Co  0.0000  0.5000  0.0000  -0.27
Ce  0.2256  0.6823  0.4511  0.61
Ce  0.2717  0.3149  0.5434  0.53
I  0.0000  0.0000  0.0000  -0.01
Ce  0.7744  0.3177  0.5489  0.61
I  0.5000  0.0000  0.0000  -0.01
Os  0.5000  0.5000  0.0000  -0.10
Ce  0.7747  0.3179  0.0434  0.61
I  0.5000  0.0000  0.5000  -0.01
Os  0.0000  0.5000  0.5000  -0.10
Ce  0.2253  0.6821  0.9566  0.61
Ce  0.7283  0.6851  0.4566  0.53
Ce  0.2687  0.3179  0.0434  0.61
I  0.0000  0.0000  0.5000  -0.01
Os  0.5000  0.5000  0.5000  -0.10
Ce  0.7313  0.6821  0.9566  0.61

space-group type: R-3m (166)
formation energy (no corrections): -0.6040 eV per atom

=====

VASP calculation (PBE) on an optimized crystal structure of CePrCoI.

Cell: 4.0110 4.2441 8.4199 Å, 90.00 105.67 121.94°
Each line ends with the local moment (μB).
Positions (direct):
Co  0.3597  0.5779  0.8929  -0.07
I  0.9613  0.3786  0.3588  0.00
Pr  0.5280  0.1620  0.6788  0.03
Ce  0.0290  0.9124  0.0392  0.37

space-group type: Cm (8)
formation energy (no corrections): -0.5896 eV per atom

=====

VASP calculation (PBE) on an optimized crystal structure of Ce6CoPt2I3.

Cell: 7.2372 7.2372 8.2698 Å, 98.40 98.40 119.90°
Each line ends with the local moment (μB).
Positions (direct):
Co  0.0000  0.0000  0.0000  -0.25
Ce  0.7452  0.7452  0.1873  0.89
Ce  0.0615  0.3773  0.1852  0.89
Ce  0.2548  0.2548  0.8127  0.89
Pt  0.3335  0.6665  0.0000  -0.01
Pt  0.6665  0.3335  0.0000  -0.01
I  0.8312  0.1688  0.5000  -0.01
Ce  0.6227  0.9385  0.8148  0.89
I  0.1688  0.8312  0.5000  -0.01
Ce  0.3773  0.0615  0.1852  0.89
I  0.5000  0.5000  0.5000  -0.01
Ce  0.9385  0.6227  0.8148  0.89

space-group type: C2/m (12)
formation energy (no corrections): -0.8541 eV per atom

=====

VASP calculation (PBE) on an optimized crystal structure of TbCeCoI.

Cell: 3.9664 3.9668 8.2795 Å, 89.94 103.88 120.07°
Each line ends with the local moment (μB).
Positions (direct):
Tb  0.5130  0.1542  0.6822  0.03
Ce  0.0838  0.9406  0.0396  0.45
I  0.9696  0.3828  0.3678  0.00
Co  0.3115  0.5532  0.8801  -0.09

space-group type: R3m (160)
formation energy (no corrections): -0.5888 eV per atom

=====

VASP calculation (PBE) on an optimized crystal structure of CeYCoI.

Cell: 3.9648 3.9658 8.2709 Å, 89.95 103.89 120.07°
Each line ends with the local moment (μB).
Positions (direct):
Co  0.3122  0.5536  0.8809  -0.09
I  0.9705  0.3832  0.3691  0.00
Y  0.5121  0.1538  0.6808  0.02
Ce  0.0831  0.9402  0.0388  0.44

space-group type: Cm (8)
formation energy (no corrections): -0.5807 eV per atom

=====

VASP calculation (PBE) on an optimized crystal structure of CeInCo2.

Cell: 4.6234 4.6234 4.9019 Å, 61.86 61.86 60.00°
Positions (direct):
Co  0.3173  0.3173  0.0482
In  0.0000  0.0000  0.0000
Ce  0.5000  0.5000  0.5000
Co  0.6827  0.6827  0.9518

formation energy: -0.9 eV per formula unit
space-group type: R-3m (166)

=====

VASP calculation (PBE) on an optimized crystal structure of Ce6In2Co.

Cell: 7.2220 7.1642 9.0516 Å, 90.00 91.43 90.00°
Positions (direct):
Ce  0.7513  0.7509  0.0075
In  0.0131  0.5000  0.2496
Co  0.5000  0.5000  0.0000
Ce  0.5483  0.5000  0.3110
Co  0.0000  0.0000  0.5000
Ce  0.2513  0.2509  0.5075
In  0.9869  0.5000  0.7504
Ce  0.2487  0.2491  0.9925
Ce  0.7513  0.2491  0.0075
Ce  0.2513  0.7491  0.5075
In  0.4869  0.0000  0.2504
Ce  0.7487  0.2509  0.4925
Ce  0.0483  0.0000  0.8110
Ce  0.9517  0.0000  0.1890
Ce  0.7487  0.7491  0.4925
Ce  0.4517  0.5000  0.6890
Ce  0.2487  0.7509  0.9925
In  0.5131  0.0000  0.7496

formation energy: -2.3 eV per formula unit
space-group type: C2/m (12)

=====

VASP calculation (PBE) on an optimized crystal structure of Ce8In2Co.

Cell: 5.3187 6.5874 9.1579 Å, 108.95 106.88 90.00°
Each line ends with the local moment (μB).
Positions (direct):
In  0.1737  0.6573  0.3473  -0.02
Ce  0.5855  0.3830  0.1710  0.46
Ce  0.6495  0.9245  0.2991  0.50
Co  0.5000  0.0000  0.0000  -0.09
Ce  0.4145  0.6170  0.8290  0.46
Ce  0.0005  0.2126  0.0010  0.55
Ce  0.7888  0.8040  0.5776  0.62
Ce  0.3505  0.0755  0.7009  0.50
Ce  0.9995  0.7874  0.9990  0.55
In  0.8263  0.3427  0.6527  -0.02
Ce  0.2112  0.1960  0.4224  0.62

formation energy: -1.7 eV per formula unit
space-group type: C2/m (12)

=====

VASP calculation (PBE) on an optimized crystal structure of Ce2InCo.

Cell: 7.3109 5.6667 8.9414 Å, 90.00 83.63 90.00°
Positions (direct):
Co  0.9835  0.6002  0.6387
In  0.0216  0.2587  0.8565
In  0.9784  0.7413  0.1435
Ce  0.2329  0.2702  0.1771
Co  0.5165  0.1002  0.3613
Co  0.0165  0.3998  0.3613
Ce  0.2671  0.7702  0.8229
Ce  0.3278  0.4054  0.5647
In  0.5216  0.2413  0.8565
Ce  0.8278  0.0946  0.5647
In  0.4784  0.7587  0.1435
Ce  0.1722  0.9054  0.4353
Co  0.4835  0.8998  0.6387
Ce  0.7329  0.2298  0.1771
Ce  0.7671  0.7298  0.8229
Ce  0.6722  0.5946  0.4353

formation energy: -1.2 eV per formula unit
space-group type: P2_1/c (14)
E above lowest polymorph: 0.00 eV/f.u.